{"formula": "YMg2Sc3", "functional": "PBE-GGA", "state": "optimized geometry", "cell": [[-0.615, -1.189, -3.173], [1.253, -3.076, 0.910], [-11.582, -3.650, 3.613]], "species": ["Y", "Mg", "Mg", "Sc", "Sc", "Sc"], "frac_coords": [[0.500, 0.500, 0.500], [0.500, 0.500, 0.846], [0.500, 0.500, 0.154], [0.000, 0.000, 0.000], [0.000, 0.000, 0.689], [0.000, 0.000, 0.311]], "dft_energy_ev_per_atom": -4.7825}